Record 1
# PBE Ho2Al3CuAu4, optimized geometry
data_Ho2Al3CuAu4
_chemical_formula_sum 'Ho2 Al3 Cu1 Au4'
_cell_length_a 4.271
_cell_length_b 4.271
_cell_length_c 10.755
_cell_angle_alpha 90.00
_cell_angle_beta 90.00
_cell_angle_gamma 90.00
_symmetry_space_group_name_H-M 'P -4 m 2'
_symmetry_Int_Tables_number 115
loop_
_symmetry_equiv_pos_as_xyz
'x,y,z'
'y,-x,-z'
'-x,-y,z'
'-y,x,-z'
'-x,y,z'
'-y,-x,-z'
'x,-y,z'
'y,x,-z'
loop_
_atom_site_label
_atom_site_fract_x
_atom_site_fract_y
_atom_site_fract_z
_atom_site_occupancy
Ho1 0.000 0.500 0.244 1
Al1 0.000 0.000 0.000 1
Al2 0.000 0.500 0.632 1
Cu1 0.500 0.500 0.000 1
Au1 0.000 0.000 0.500 1
Au2 0.000 0.500 0.861 1
Au3 0.500 0.500 0.500 1
# ΔH_f (0 K) (meV/atom): -590
# Density of states at the Fermi level (states/eV/f.u.): 6.30

=====

Record 2
# PBE Ho2Al4CuAu3, optimized geometry
data_Ho2Al4CuAu3
_chemical_formula_sum 'Ho2 Al4 Cu1 Au3'
_cell_length_a 4.251
_cell_length_b 4.251
_cell_length_c 10.613
_cell_angle_alpha 90.00
_cell_angle_beta 90.00
_cell_angle_gamma 90.00
_symmetry_space_group_name_H-M 'P -4 m 2'
_symmetry_Int_Tables_number 115
loop_
_symmetry_equiv_pos_as_xyz
'x,y,z'
'y,-x,-z'
'-x,-y,z'
'-y,x,-z'
'-x,y,z'
'-y,-x,-z'
'x,-y,z'
'y,x,-z'
loop_
_atom_site_label
_atom_site_fract_x
_atom_site_fract_y
_atom_site_fract_z
_atom_site_occupancy
Ho1 0.000 0.500 0.243 1
Al1 0.000 0.000 0.500 1
Al2 0.000 0.500 0.872 1
Al3 0.500 0.500 0.500 1
Cu1 0.500 0.500 0.000 1
Au1 0.000 0.000 0.000 1
Au2 0.000 0.500 0.639 1
# ΔH_f (0 K) (meV/atom): -635
# Density of states at the Fermi level (states/eV/f.u.): 3.60

=====

Record 3
# PBE HoAl4CuAu2, optimized geometry
data_HoAl4CuAu2
_chemical_formula_sum 'Ho3 Al12 Cu3 Au6'
_cell_length_a 4.3467
_cell_length_b 4.3467
_cell_length_c 25.8520
_cell_angle_alpha 90.00
_cell_angle_beta 90.00
_cell_angle_gamma 120.00
_symmetry_space_group_name_H-M 'R -3 m'
_symmetry_Int_Tables_number 166
_symmetry_space_group_name_Hall '-R 3 2"'
loop_
_atom_site_label
_atom_site_fract_x
_atom_site_fract_y
_atom_site_fract_z
_atom_site_occupancy
Ho1 0.0000 0.0000 0.0000 1
Al1 0.0000 0.0000 0.1304 1
Al2 0.0000 0.0000 0.3998 1
Cu1 0.0000 0.0000 0.5000 1
Au1 0.0000 0.0000 0.2414 1
# ΔH_f (0 K) (meV/atom): -388
# Density of states at the Fermi level (states/eV/f.u.): 2.93

=====

Record 4
# PBE Ho2Al4Cu3Au, optimized geometry
data_Ho2Al4Cu3Au
_chemical_formula_sum 'Ho2 Al4 Cu3 Au1'
_cell_length_a 4.156
_cell_length_b 4.156
_cell_length_c 10.320
_cell_angle_alpha 90.00
_cell_angle_beta 90.00
_cell_angle_gamma 90.00
_symmetry_space_group_name_H-M 'P -4 m 2'
_symmetry_Int_Tables_number 115
loop_
_symmetry_equiv_pos_as_xyz
'x,y,z'
'y,-x,-z'
'-x,-y,z'
'-y,x,-z'
'-x,y,z'
'-y,-x,-z'
'x,-y,z'
'y,x,-z'
loop_
_atom_site_label
_atom_site_fract_x
_atom_site_fract_y
_atom_site_fract_z
_atom_site_occupancy
Ho1 0.000 0.500 0.245 1
Al1 0.000 0.000 0.000 1
Al2 0.000 0.500 0.640 1
Al3 0.500 0.500 0.000 1
Cu1 0.000 0.500 0.869 1
Cu2 0.500 0.500 0.500 1
Au1 0.000 0.000 0.500 1
# ΔH_f (0 K) (meV/atom): -478
# Density of states at the Fermi level (states/eV/f.u.): 4.95

=====

Record 5
# PBE HoAl2CuAu4, optimized geometry
data_HoAl2CuAu4
_chemical_formula_sum 'Ho3 Al6 Cu3 Au12'
_cell_length_a 4.4412
_cell_length_b 4.4412
_cell_length_c 25.5618
_cell_angle_alpha 90.00
_cell_angle_beta 90.00
_cell_angle_gamma 120.00
_symmetry_space_group_name_H-M 'R -3 m'
_symmetry_Int_Tables_number 166
_symmetry_space_group_name_Hall '-R 3 2"'
loop_
_atom_site_label
_atom_site_fract_x
_atom_site_fract_y
_atom_site_fract_z
_atom_site_occupancy
Ho1 0.0000 0.0000 0.0000 1
Al1 0.0000 0.0000 0.2403 1
Cu1 0.0000 0.0000 0.5000 1
Au1 0.0000 0.0000 0.1310 1
Au2 0.0000 0.0000 0.3950 1
# ΔH_f (0 K) (meV/atom): -486
# Density of states at the Fermi level (states/eV/f.u.): 3.02

=====

Record 6
# PBE HoAl4Cu2Au, optimized geometry
data_HoAl4Cu2Au
_chemical_formula_sum 'Ho3 Al12 Cu6 Au3'
_cell_length_a 4.2264
_cell_length_b 4.2264
_cell_length_c 27.0933
_cell_angle_alpha 90.00
_cell_angle_beta 90.00
_cell_angle_gamma 120.00
_symmetry_space_group_name_H-M 'R -3 m'
_symmetry_Int_Tables_number 166
_symmetry_space_group_name_Hall '-R 3 2"'
loop_
_atom_site_label
_atom_site_fract_x
_atom_site_fract_y
_atom_site_fract_z
_atom_site_occupancy
Ho1 0.0000 0.0000 0.0000 1
Al1 0.0000 0.0000 0.1200 1
Al2 0.0000 0.0000 0.4022 1
Cu1 0.0000 0.0000 0.2617 1
Au1 0.0000 0.0000 0.5000 1
# ΔH_f (0 K) (meV/atom): -330
# Density of states at the Fermi level (states/eV/f.u.): 2.68

=====

Record 7
# PBE HoAl3CuAu, optimized geometry
data_HoAl3CuAu
_chemical_formula_sum 'Ho4 Al12 Cu4 Au4'
_cell_length_a 6.184
_cell_length_b 12.362
_cell_length_c 5.813
_cell_angle_alpha 90.00
_cell_angle_beta 90.00
_cell_angle_gamma 90.00
_symmetry_space_group_name_H-M 'C m c m'
_symmetry_Int_Tables_number 63
_symmetry_space_group_name_Hall '-C 2c 2'
loop_
_atom_site_label
_atom_site_fract_x
_atom_site_fract_y
_atom_site_fract_z
_atom_site_occupancy
Ho1 0.000 0.211 0.250 1
Al1 0.000 0.363 0.750 1
Al2 0.213 0.000 0.000 1
Cu1 0.000 0.427 0.250 1
Au1 0.000 0.155 0.750 1
# ΔH_f (0 K) (meV/atom): -305
# Density of states at the Fermi level (states/eV/f.u.): 2.65

=====

Record 8
# PBE AlIn2CuAu, optimized geometry
data_AlIn2CuAu
_chemical_formula_sum 'Al1 In2 Cu1 Au1'
_cell_length_a 5.301
_cell_length_b 5.301
_cell_length_c 4.812
_cell_angle_alpha 90.00
_cell_angle_beta 90.00
_cell_angle_gamma 90.00
_symmetry_space_group_name_H-M 'P 4/m m m'
_symmetry_Int_Tables_number 123
_symmetry_space_group_name_Hall '-P 4 2'
loop_
_atom_site_label
_atom_site_fract_x
_atom_site_fract_y
_atom_site_fract_z
_atom_site_occupancy
Al1 0.000 0.000 0.000 1
In1 0.000 0.500 0.000 1
Cu1 0.500 0.500 0.500 1
Au1 0.000 0.000 0.500 1
# ΔH_f (0 K) (meV/atom): 564
# Density of states at the Fermi level (states/eV/f.u.): 2.75